[1]
Entry from Alexandria via LeMat-Bulk: a relaxed CrRhW2 crystal (PBE).

space-group type: P2/m, No. 10
total DFT energy (no corrections): -0.780 Ry per atom
excess energy over the best structure of this formula in the dataset: 18 meV/atom
energy relative to the elements: 0.445 eV/f.u.

Lattice parameters (Å, degrees): 2.711 3.985 5.498 90.00 98.78 90.00
Atoms (fractional coordinates):
Cr: 0.000 0.000 0.000
Rh: 0.000 0.000 0.500
W: 0.429 0.500 0.238
W: 0.571 0.500 0.762


[2]
Entry from Alexandria via LeMat-Bulk: a relaxed Tb3Ga9Os2 crystal (PBE).

space-group type: Immm, No. 71
total DFT energy (no corrections): -0.369 Ry per atom
energy relative to the elements: -6.713 eV/f.u.

Lattice parameters (Å, degrees): 8.124 8.124 8.124 149.37 109.16 79.13
Atoms (fractional coordinates):
Tb: 0.000 0.000 0.000
Tb: 0.299 0.299 0.000
Tb: 0.701 0.701 0.000
Ga: 0.016 0.653 0.363
Ga: 0.152 0.869 0.284
Ga: 0.289 0.653 0.637
Ga: 0.415 0.131 0.284
Ga: 0.500 0.000 0.500
Ga: 0.585 0.869 0.716
Ga: 0.711 0.347 0.363
Ga: 0.848 0.131 0.716
Ga: 0.984 0.347 0.637
Os: 0.326 0.500 0.826
Os: 0.674 0.500 0.174


[3]
Entry from Alexandria via LeMat-Bulk: a relaxed DyZrCdPd crystal (PBE).

space-group type: F-43m, No. 216
total DFT energy (no corrections): -0.378 Ry per atom
energy relative to the elements: -1.335 eV/f.u.

Lattice parameters (Å, degrees): 4.993 4.993 4.993 60.00 60.00 60.00
Atoms (fractional coordinates):
Dy: 0.000 0.000 0.000
Zr: 0.500 0.500 0.500
Cd: 0.250 0.250 0.250
Pd: 0.750 0.750 0.750


[4]
Entry from Alexandria via LeMat-Bulk: a relaxed Tb2InRh crystal (PBE).

space-group type: P4/mmm, No. 123
total DFT energy (no corrections): -0.404 Ry per atom
excess energy over the best structure of this formula in the dataset: 0 meV/atom
energy relative to the elements: -2.663 eV/f.u.

Lattice parameters (Å, degrees): 3.546 3.546 7.546 90.00 90.00 90.00
Atoms (fractional coordinates):
Tb: 0.000 0.000 0.217
Tb: 0.000 0.000 0.783
In: 0.500 0.500 0.500
Rh: 0.500 0.500 0.000


[5]
Entry from Alexandria via LeMat-Bulk: a relaxed HoTh2Pd4 crystal (PBE).

space-group type: C2/m, No. 12
total DFT energy (no corrections): -0.460 Ry per atom
energy relative to the elements: -3.630 eV/f.u.

Lattice parameters (Å, degrees): 5.303 5.303 7.861 114.62 114.62 65.31
Atoms (fractional coordinates):
Ho: 0.000 0.000 0.000
Th: 0.295 0.295 0.687
Th: 0.705 0.705 0.313
Pd: 0.000 0.500 0.000
Pd: 0.335 0.335 0.350
Pd: 0.500 0.000 0.000
Pd: 0.665 0.665 0.650


[6]
Entry from Alexandria via LeMat-Bulk: a relaxed PrPaPd2O8 crystal (PBE).

space-group type: I-4, No. 82
total DFT energy (no corrections): -0.514 Ry per atom

Lattice parameters (Å, degrees): 6.605 6.605 6.605 130.39 130.39 72.79
Atoms (fractional coordinates):
Pr: 0.000 0.000 0.000
Pa: 0.250 0.750 0.500
Pd: 0.500 0.500 0.000
Pd: 0.750 0.250 0.500
O: 0.014 0.374 0.976
O: 0.234 0.438 0.568
O: 0.334 0.766 0.205
O: 0.399 0.039 0.024
O: 0.562 0.130 0.795
O: 0.626 0.601 0.640
O: 0.870 0.666 0.432
O: 0.961 0.986 0.360